Entry 1:
Entry from Alexandria: a geometry-optimized LuTi3N structure (PBE).

Computed properties:
The value obtained for the total energy is -39.28 eV per cell. The calculation puts the density of states at the Fermi level at 1.355 states/eV per atom.

Cell lengths 4.303, 4.303, 4.303 Å; angles 90.00, 90.00, 90.00 degrees
Sites, in units of the cell vectors:
1 Lu 0.000 0.000 0.000
2 Ti 0.000 0.500 0.500
3 Ti 0.500 0.000 0.500
4 Ti 0.500 0.500 0.000
5 N 0.500 0.500 0.500

---

Entry 2:
Entry from Alexandria: a geometry-optimized Sr2PrHg2 structure (PBE).

Computed properties:
The value obtained for the total energy is -10.64 eV per cell. The calculation puts the density of states at the Fermi level at 0.935 states/eV per atom. The calculation puts the formation energy at -0.378 eV per atom.

Cell lengths 11.658, 11.658, 3.898 Å; angles 90.00, 90.00, 160.39 degrees
Sites, in units of the cell vectors:
1 Sr 0.168 0.832 0.000
2 Sr 0.832 0.168 0.000
3 Pr 0.000 0.000 0.000
4 Hg 0.418 0.582 0.500
5 Hg 0.582 0.418 0.500